1.
# Ce6Os2PtCl3 PBE-GGA relaxed
data_Ce6Os2PtCl3
_chemical_formula_sum 'Ce12 Os4 Pt2 Cl6'
_space_group_name_H-M_alt 'C 1 2/m 1'
_space_group_IT_number 12
_cell_length_a 7.0523
_cell_length_b 12.2170
_cell_length_c 7.7109
_cell_angle_alpha 90.00
_cell_angle_beta 107.74
_cell_angle_gamma 90.00
loop_
_space_group_symop_operation_xyz
'x,y,z'
'-x,-y,-z'
'-x,y,-z'
'x,-y,z'
'x+1/2,y+1/2,z'
'-x+1/2,-y+1/2,-z'
'-x+1/2,y+1/2,-z'
'x+1/2,-y+1/2,z'
loop_
_atom_site_label
_atom_site_type_symbol
_atom_site_fract_x
_atom_site_fract_y
_atom_site_fract_z
_atom_site_occupancy
Ce1 Ce 0.2251 0.0000 0.2092 1
Ce2 Ce 0.2420 0.3277 0.2093 1
Os1 Os 0.0000 0.1666 0.0000 1
Pt1 Pt 0.0000 0.5000 0.0000 1
Cl1 Cl 0.0000 0.0000 0.5000 1
Cl2 Cl 0.0000 0.3326 0.5000 1
# E_form (uncorrected), eV/atom: -0.996

2.
# Ce4OsPtCl2 PBE-GGA relaxed
data_Ce4OsPtCl2
_chemical_formula_sum 'Ce4 Os1 Pt1 Cl2'
_space_group_name_H-M_alt 'P 1 2/m 1'
_space_group_IT_number 10
_cell_length_a 7.0955
_cell_length_b 4.0851
_cell_length_c 7.6753
_cell_angle_alpha 90.00
_cell_angle_beta 107.91
_cell_angle_gamma 90.00
loop_
_space_group_symop_operation_xyz
'x,y,z'
'-x,-y,-z'
'-x,y,-z'
'x,-y,z'
loop_
_atom_site_label
_atom_site_type_symbol
_atom_site_fract_x
_atom_site_fract_y
_atom_site_fract_z
_atom_site_occupancy
Ce1 Ce 0.2272 0.0000 0.2117 1
Ce2 Ce 0.2512 0.5000 0.7874 1
Os1 Os 0.0000 0.5000 0.0000 1
Pt1 Pt 0.5000 0.0000 0.0000 1
Cl1 Cl 0.0000 0.0000 0.5000 1
Cl2 Cl 0.5000 0.5000 0.5000 1
# E_form (uncorrected), eV/atom: -1.057

3.
# Ce4OsRhCl2 PBE-GGA relaxed
data_Ce4OsRhCl2
_chemical_formula_sum 'Ce4 Os1 Rh1 Cl2'
_space_group_name_H-M_alt 'P 1 2/m 1'
_space_group_IT_number 10
_cell_length_a 6.9792
_cell_length_b 4.0303
_cell_length_c 7.7420
_cell_angle_alpha 90.00
_cell_angle_beta 107.49
_cell_angle_gamma 90.00
loop_
_space_group_symop_operation_xyz
'x,y,z'
'-x,-y,-z'
'-x,y,-z'
'x,-y,z'
loop_
_atom_site_label
_atom_site_type_symbol
_atom_site_fract_x
_atom_site_fract_y
_atom_site_fract_z
_atom_site_occupancy
Ce1 Ce 0.2311 0.0000 0.2091 1
Ce2 Ce 0.2591 0.5000 0.7903 1
Os1 Os 0.0000 0.5000 0.0000 1
Rh1 Rh 0.5000 0.0000 0.0000 1
Cl1 Cl 0.0000 0.0000 0.5000 1
Cl2 Cl 0.5000 0.5000 0.5000 1
# E_form (uncorrected), eV/atom: -0.975

no.,V (Å³ per atom),size of the total moment (μB per cell)
1,26.37,9.8
2,26.46,3.7
3,25.96,3.3